This record from the Alexandria database describes a relaxed Na3AsRh3O8 crystal. The functional is PBE.

a = 6.2158 Å, b = 6.2158 Å, c = 16.2840 Å
α = 90.00°, β = 90.00°, γ = 120.00°
Space group R-3m (No. 166, hexagonal axes)
One atom of each set of equivalent atoms:
Na  0.0000  0.5000  0.0000
As  0.0000  0.0000  0.5000
Rh  0.0000  0.5000  0.5000
O  0.0000  0.0000  0.2307
O  0.0332  0.5166  0.2297

Output
- Theoretical density: 5307 kg/m³
- Uncorrected formation energy: -25.7 kcal/mol of atoms